VASP calculation (PBE) on a relaxed SrPb3S4 crystal.

Unit cell a=8.519 b=12.040 c=4.256 alpha=90.00 beta=90.00 gamma=90.00
Fractional positions:
1 Sr 0.000 0.000 0.000
2 Sr 0.500 0.500 0.000
3 Pb 0.000 0.500 0.000
4 Pb 0.250 0.250 0.500
5 Pb 0.250 0.750 0.500
6 Pb 0.500 0.000 0.000
7 Pb 0.750 0.250 0.500
8 Pb 0.750 0.750 0.500
9 S 0.000 0.249 0.000
10 S 0.000 0.751 0.000
11 S 0.248 0.000 0.500
12 S 0.252 0.500 0.500
13 S 0.500 0.251 0.000
14 S 0.500 0.749 0.000
15 S 0.748 0.500 0.500
16 S 0.752 0.000 0.500

V: 437 Å³/cell
Energy relative to the lowest polymorph listed for this composition: 0 meV per atom
Total energy: -4.6049 eV/atom
SG: Cmmm (65)
ΔE_f (raw): -940 meV per atom
Total magnetic moment: 0.0 μB/cell



VASP calculation (PBE) on a relaxed SrCaZnGa crystal.

Unit cell a=4.633 b=4.114 c=12.051 alpha=90.00 beta=90.00 gamma=90.00
Fractional positions:
1 Sr 0.000 0.000 0.000
2 Sr 0.000 0.500 0.500
3 Ca 0.500 0.000 0.291
4 Ca 0.500 0.500 0.791
5 Zn 0.500 0.000 0.596
6 Zn 0.500 0.500 0.096
7 Ga 0.000 0.000 0.717
8 Ga 0.000 0.500 0.217

V: 230 Å³/cell
Fermi-level density of states: 0.933 states/eV/atom
Total energy: -2.3049 eV/atom
SG: Amm2 (38)
Total magnetic moment: 0.0 μB/cell



VASP calculation (PBE) on a relaxed HfTaTcNi crystal.

Unit cell a=6.369 b=6.369 c=6.369 alpha=90.00 beta=90.00 gamma=90.00
Fractional positions:
1 Hf 0.000 0.000 0.000
2 Hf 0.000 0.500 0.500
3 Hf 0.500 0.000 0.500
4 Hf 0.500 0.500 0.000
5 Ta 0.000 0.000 0.500
6 Ta 0.000 0.500 0.000
7 Ta 0.500 0.000 0.000
8 Ta 0.500 0.500 0.500
9 Tc 0.250 0.250 0.750
10 Tc 0.250 0.750 0.250
11 Tc 0.750 0.250 0.250
12 Tc 0.750 0.750 0.750
13 Ni 0.250 0.250 0.250
14 Ni 0.250 0.750 0.750
15 Ni 0.750 0.250 0.750
16 Ni 0.750 0.750 0.250

V: 258 Å³/cell
Fermi-level density of states: 0.961 states/eV/atom
Total energy: -9.8376 eV/atom
SG: F-43m (216)
Total magnetic moment: 0.0 μB/cell



VASP calculation (PBE) on a relaxed CsZr2Te crystal.

Unit cell a=5.368 b=5.368 c=21.379 alpha=90.00 beta=90.00 gamma=90.00
Fractional positions:
1 Cs 0.000 0.000 0.000
2 Cs 0.000 0.500 0.250
3 Cs 0.500 0.000 0.750
4 Cs 0.500 0.500 0.500
5 Zr 0.022 0.250 0.625
6 Zr 0.250 0.522 0.875
7 Zr 0.250 0.978 0.375
8 Zr 0.478 0.250 0.125
9 Zr 0.522 0.750 0.125
10 Zr 0.750 0.022 0.375
11 Zr 0.750 0.478 0.875
12 Zr 0.978 0.750 0.625
13 Te 0.000 0.000 0.500
14 Te 0.000 0.500 0.750
15 Te 0.500 0.000 0.250
16 Te 0.500 0.500 0.000

V: 616 Å³/cell
Fermi-level density of states: 0.792 states/eV/atom
Total energy: -4.8688 eV/atom
SG: I-42d (122)
ΔE_f (raw): 404 meV per atom
Total magnetic moment: 0.0 μB/cell



Question: Which formula does entry 2 have?
Answer: SrCaZnGa